A relaxed structure of Tc2SbMo, computed with PBE.

Results
* calculated total energy: -34.54 eV/f.u.

a b c (Å): 6.372 6.372 6.372
angles (deg): 90.00 90.00 90.00
Space group F-43m (No. 216)
One atom of each set of equivalent atoms:
Tc  0.000  0.000  0.000 (multiplicity 4)
Tc  0.250  0.250  0.250 (multiplicity 4)
Sb  0.250  0.250  0.750 (multiplicity 4)
Mo  0.000  0.000  0.500 (multiplicity 4)

=====

A relaxed structure of TcSbMo2, computed with PBE.

Results
* calculated total energy: -35.30 eV/f.u.

a b c (Å): 6.400 6.400 6.400
angles (deg): 90.00 90.00 90.00
Space group F-43m (No. 216)
One atom of each set of equivalent atoms:
Tc  0.000  0.000  0.000 (multiplicity 4)
Sb  0.250  0.250  0.750 (multiplicity 4)
Mo  0.000  0.000  0.500 (multiplicity 4)
Mo  0.250  0.250  0.250 (multiplicity 4)

=====

A relaxed structure of SbTe2Mo, computed with PBE.

Results
* calculated total energy: -18.54 eV/f.u.

a b c (Å): 7.139 7.139 7.139
angles (deg): 90.00 90.00 90.00
Space group F-43m (No. 216)
One atom of each set of equivalent atoms:
Sb  0.000  0.000  0.000 (multiplicity 4)
Te  0.000  0.000  0.500 (multiplicity 4)
Te  0.250  0.250  0.750 (multiplicity 4)
Mo  0.250  0.250  0.250 (multiplicity 4)

=====

A relaxed structure of ThSbMo, computed with PBE.

Results
* excess energy over the best structure of this formula in the dataset: 49.4 kJ per mole of atoms
* calculated total energy: -19.45 eV/f.u.

a b c (Å): 7.121 7.121 7.121
angles (deg): 90.00 90.00 90.00
Space group F-43m (No. 216)
One atom of each set of equivalent atoms:
Th  0.000  0.000  0.000 (multiplicity 4)
Sb  0.250  0.250  0.750 (multiplicity 4)
Mo  0.250  0.250  0.250 (multiplicity 4)

=====

A relaxed structure of ThSbMo, computed with PBE.

Results
* excess energy over the best structure of this formula in the dataset: 0.0 kJ per mole of atoms
* calculated total energy: -20.99 eV/f.u.

a b c (Å): 6.912 6.912 6.912
angles (deg): 90.00 90.00 90.00
Space group F-43m (No. 216)
One atom of each set of equivalent atoms:
Th  0.000  0.000  0.000 (multiplicity 4)
Sb  0.250  0.250  0.750 (multiplicity 4)
Mo  0.000  0.000  0.500 (multiplicity 4)

=====

A relaxed structure of TlSb5Mo3, computed with PBE.

Results
* calculated total energy: -54.41 eV/f.u.

a b c (Å): 5.5851 5.5851 8.5118
angles (deg): 90.00 90.00 120.00
Space group P6/mmm (No. 191)
One atom of each set of equivalent atoms:
Tl  0.0000  0.0000  0.0000 (multiplicity 1)
Sb  0.0000  0.0000  0.5000 (multiplicity 1)
Sb  0.3333  0.6667  0.2212 (multiplicity 4)
Mo  0.0000  0.5000  0.5000 (multiplicity 3)

=====

Look up the calculated total energy of the fourth one.
-19.45 eV/f.u.

=====

What is the formula in the first record?
Tc2SbMo